(1)
MnRe2O8 after structural relaxation, computed with PBE+U.

Values from the calculation:
Its volume is 216.64 Å³ per cell. For the density of states at the Fermi level, the calculation gives 0.00 states/eV/cell. Its symmetry is C2/m (12). The calculation puts the magnetic moment at 0.455 μB per atom. For the total energy, the calculation gives -8.119 eV per atom.

Cell and atoms, written as CIF:
```
data_MnRe2O8
_chemical_formula_sum 'Mn1 Re2 O8'
_symmetry_space_group_name_H-M 'P 1'
_symmetry_Int_Tables_number 1
_symmetry_space_group_name_Hall 'P 1'
_cell_length_a 7.354
_cell_length_b 7.354
_cell_length_c 5.470
_cell_angle_alpha 83.84
_cell_angle_beta 83.84
_cell_angle_gamma 47.51
loop_
_atom_site_label
_atom_site_fract_x
_atom_site_fract_y
_atom_site_fract_z
O1 0.280 0.280 0.354
O2 0.123 0.661 0.791
O3 0.096 0.096 0.682
O4 0.339 0.877 0.209
O5 0.661 0.123 0.791
O6 0.720 0.720 0.646
O7 0.877 0.339 0.209
O8 0.904 0.904 0.318
Mn1 0.000 0.000 0.000
Re1 0.849 0.849 0.630
Re2 0.151 0.151 0.370
```

***

(2)
MnReRhO6 after structural relaxation, computed with PBE+U.

Values from the calculation:
Its volume is 212.49 Å³ per cell. Its symmetry is P-31c (163). The calculation puts the magnetic moment at 0.555 μB per atom. For the total energy, the calculation gives -7.634 eV per atom.

Cell and atoms, written as CIF:
```
data_MnReRhO6
_chemical_formula_sum 'Mn2 Re2 Rh2 O12'
_symmetry_space_group_name_H-M 'P 1'
_symmetry_Int_Tables_number 1
_symmetry_space_group_name_Hall 'P 1'
_cell_length_a 5.092
_cell_length_b 5.092
_cell_length_c 9.463
_cell_angle_alpha 90.00
_cell_angle_beta 90.00
_cell_angle_gamma 120.00
loop_
_atom_site_label
_atom_site_fract_x
_atom_site_fract_y
_atom_site_fract_z
O1 0.659 0.639 0.134
O2 0.341 0.361 0.866
O3 0.020 0.361 0.634
O4 0.980 0.639 0.366
O5 0.361 0.341 0.366
O6 0.639 0.980 0.866
O7 0.341 0.980 0.634
O8 0.639 0.659 0.634
O9 0.361 0.020 0.134
O10 0.020 0.659 0.866
O11 0.980 0.341 0.134
O12 0.659 0.020 0.366
Mn1 0.000 0.000 0.000
Mn2 0.000 0.000 0.500
Rh1 0.667 0.333 0.750
Rh2 0.333 0.667 0.250
Re1 0.667 0.333 0.250
Re2 0.333 0.667 0.750
```

***

(3)
MnReSb2O8 after structural relaxation, computed with PBE+U.

Values from the calculation:
Its volume is 150.79 Å³ per cell. For the density of states at the Fermi level, the calculation gives 3.70 states/eV/cell. Its symmetry is Cmmm (65). The calculation puts the magnetic moment at 0.399 μB per atom. For the total energy, the calculation gives -7.061 eV per atom.

Cell and atoms, written as CIF:
```
data_MnReSb2O8
_chemical_formula_sum 'Mn1 Re1 Sb2 O8'
_symmetry_space_group_name_H-M 'P 1'
_symmetry_Int_Tables_number 1
_symmetry_space_group_name_Hall 'P 1'
_cell_length_a 4.796
_cell_length_b 4.796
_cell_length_c 6.556
_cell_angle_alpha 90.00
_cell_angle_beta 90.00
_cell_angle_gamma 89.63
loop_
_atom_site_label
_atom_site_fract_x
_atom_site_fract_y
_atom_site_fract_z
Sb1 0.500 0.500 0.745
Sb2 0.500 0.500 0.255
O1 0.807 0.193 0.774
O2 0.689 0.689 0.500
O3 0.716 0.716 0.000
O4 0.311 0.311 0.500
O5 0.193 0.807 0.774
O6 0.807 0.193 0.226
O7 0.193 0.807 0.226
O8 0.284 0.284 0.000
Mn1 0.000 0.000 0.500
Re1 0.000 0.000 0.000
```

***

(4)
Sc2MnReO8 after structural relaxation, computed with PBE+U.

Values from the calculation:
Its volume is 142.73 Å³ per cell. For the density of states at the Fermi level, the calculation gives 2.41 states/eV/cell. Its symmetry is Cmmm (65). The calculation puts the magnetic moment at 0.333 μB per atom. For the total energy, the calculation gives -8.338 eV per atom.

Cell and atoms, written as CIF:
```
data_Sc2MnReO8
_chemical_formula_sum 'Sc2 Mn1 Re1 O8'
_symmetry_space_group_name_H-M 'P 1'
_symmetry_Int_Tables_number 1
_symmetry_space_group_name_Hall 'P 1'
_cell_length_a 4.753
_cell_length_b 4.752
_cell_length_c 6.328
_cell_angle_alpha 90.00
_cell_angle_beta 90.00
_cell_angle_gamma 93.04
loop_
_atom_site_label
_atom_site_fract_x
_atom_site_fract_y
_atom_site_fract_z
Sc1 0.500 0.500 0.257
Sc2 0.500 0.500 0.743
O1 0.813 0.188 0.218
O2 0.291 0.291 0.500
O3 0.291 0.291 0.000
O4 0.813 0.188 0.782
O5 0.187 0.812 0.218
O6 0.187 0.812 0.782
O7 0.709 0.709 0.000
O8 0.709 0.709 0.500
Mn1 0.000 0.000 0.500
Re1 0.000 0.000 0.000
```

***

(5)
MnReSnO6 after structural relaxation, computed with PBE+U.

Values from the calculation:
Its volume is 213.91 Å³ per cell. For the density of states at the Fermi level, the calculation gives 6.68 states/eV/cell. Its symmetry is P-31c (163). The calculation puts the magnetic moment at 0.460 μB per atom. For the total energy, the calculation gives -7.456 eV per atom.

Cell and atoms, written as CIF:
```
data_MnReSnO6
_chemical_formula_sum 'Mn2 Re2 Sn2 O12'
_symmetry_space_group_name_H-M 'P 1'
_symmetry_Int_Tables_number 1
_symmetry_space_group_name_Hall 'P 1'
_cell_length_a 5.216
_cell_length_b 5.216
_cell_length_c 9.079
_cell_angle_alpha 90.00
_cell_angle_beta 90.00
_cell_angle_gamma 120.00
loop_
_atom_site_label
_atom_site_fract_x
_atom_site_fract_y
_atom_site_fract_z
O1 0.675 0.032 0.372
O2 0.675 0.643 0.128
O3 0.325 0.357 0.872
O4 0.643 0.675 0.628
O5 0.325 0.968 0.628
O6 0.357 0.325 0.372
O7 0.968 0.325 0.128
O8 0.032 0.357 0.628
O9 0.357 0.032 0.128
O10 0.968 0.643 0.372
O11 0.032 0.675 0.872
O12 0.643 0.968 0.872
Re1 0.667 0.333 0.250
Re2 0.333 0.667 0.750
Mn1 0.667 0.333 0.750
Mn2 0.333 0.667 0.250
Sn1 0.000 0.000 0.000
Sn2 0.000 0.000 0.500
```

***

(6)
SrMnReO6 after structural relaxation, computed with PBE+U.

Values from the calculation:
Its volume is 243.68 Å³ per cell. Its symmetry is P4_2nm (102). The calculation puts the magnetic moment at 0.445 μB per atom. For the total energy, the calculation gives -7.526 eV per atom.

Cell and atoms, written as CIF:
```
data_SrMnReO6
_chemical_formula_sum 'Sr2 Mn2 Re2 O12'
_symmetry_space_group_name_H-M 'P 1'
_symmetry_Int_Tables_number 1
_symmetry_space_group_name_Hall 'P 1'
_cell_length_a 5.032
_cell_length_b 5.032
_cell_length_c 9.623
_cell_angle_alpha 90.00
_cell_angle_beta 90.00
_cell_angle_gamma 90.00
loop_
_atom_site_label
_atom_site_fract_x
_atom_site_fract_y
_atom_site_fract_z
O1 0.337 0.337 0.005
O2 0.766 0.234 0.191
O3 0.266 0.266 0.691
O4 0.163 0.837 0.505
O5 0.234 0.766 0.191
O6 0.203 0.797 0.791
O7 0.837 0.163 0.505
O8 0.297 0.297 0.291
O9 0.797 0.203 0.791
O10 0.703 0.703 0.291
O11 0.663 0.663 0.005
O12 0.734 0.734 0.691
Re1 0.000 0.000 0.674
Re2 0.500 0.500 0.174
Mn1 0.000 0.000 0.344
Mn2 0.500 0.500 0.844
Sr1 0.500 0.500 0.509
Sr2 0.000 0.000 0.009
```

***

(7)
Mn3Tl3ReO8 after structural relaxation, computed with PBE+U.

Values from the calculation:
Its volume is 237.55 Å³ per cell. For the density of states at the Fermi level, the calculation gives 1.33 states/eV/cell. Its symmetry is R-3m (166). The calculation puts the magnetic moment at 0.995 μB per atom. For the total energy, the calculation gives -6.732 eV per atom.

Cell and atoms, written as CIF:
```
data_Mn3Tl3ReO8
_chemical_formula_sum 'Mn3 Tl3 Re1 O8'
_symmetry_space_group_name_H-M 'P 1'
_symmetry_Int_Tables_number 1
_symmetry_space_group_name_Hall 'P 1'
_cell_length_a 6.530
_cell_length_b 6.530
_cell_length_c 7.456
_cell_angle_alpha 115.95
_cell_angle_beta 90.00
_cell_angle_gamma 120.00
loop_
_atom_site_label
_atom_site_fract_x
_atom_site_fract_y
_atom_site_fract_z
O1 0.802 0.030 0.332
O2 0.198 0.970 0.668
O3 0.288 0.576 0.363
O4 0.802 0.604 0.332
O5 0.712 0.424 0.637
O6 0.228 0.030 0.332
O7 0.198 0.396 0.668
O8 0.772 0.970 0.668
Mn1 0.500 0.500 0.500
Mn2 0.500 0.000 0.500
Mn3 0.000 0.500 0.500
Tl1 0.000 0.500 0.000
Tl2 0.000 0.000 0.000
Tl3 0.500 0.500 0.000
Re1 0.000 0.000 0.500
```

***

(8)
MnTlReO6 after structural relaxation, computed with PBE+U.

Values from the calculation:
Its volume is 122.55 Å³ per cell. For the density of states at the Fermi level, the calculation gives 2.43 states/eV/cell. Its symmetry is C2 (5). The calculation puts the magnetic moment at 0.421 μB per atom. For the total energy, the calculation gives -7.080 eV per atom.

Cell and atoms, written as CIF:
```
data_MnTlReO6
_chemical_formula_sum 'Mn1 Tl1 Re1 O6'
_symmetry_space_group_name_H-M 'P 1'
_symmetry_Int_Tables_number 1
_symmetry_space_group_name_Hall 'P 1'
_cell_length_a 5.357
_cell_length_b 5.229
_cell_length_c 5.096
_cell_angle_alpha 89.27
_cell_angle_beta 88.57
_cell_angle_gamma 59.19
loop_
_atom_site_label
_atom_site_fract_x
_atom_site_fract_y
_atom_site_fract_z
O1 0.973 0.393 0.277
O2 0.618 0.992 0.288
O3 0.634 0.394 0.723
O4 0.385 0.627 0.302
O5 0.390 0.992 0.712
O6 0.988 0.627 0.698
Re1 0.671 0.657 0.500
Tl1 0.005 0.989 0.000
Mn1 0.336 0.327 0.500
```

***

(9)
MnTl2ReO6 after structural relaxation, computed with PBE+U.

Values from the calculation:
Its volume is 165.94 Å³ per cell. For the density of states at the Fermi level, the calculation gives 0.22 states/eV/cell. Its symmetry is P-3m1 (164). The calculation puts the magnetic moment at 0.200 μB per atom. For the total energy, the calculation gives -6.547 eV per atom.

Cell and atoms, written as CIF:
```
data_MnTl2ReO6
_chemical_formula_sum 'Mn1 Tl2 Re1 O6'
_symmetry_space_group_name_H-M 'P 1'
_symmetry_Int_Tables_number 1
_symmetry_space_group_name_Hall 'P 1'
_cell_length_a 4.938
_cell_length_b 6.229
_cell_length_c 6.229
_cell_angle_alpha 120.00
_cell_angle_beta 90.00
_cell_angle_gamma 90.00
loop_
_atom_site_label
_atom_site_fract_x
_atom_site_fract_y
_atom_site_fract_z
O1 0.758 0.140 0.860
O2 0.242 0.860 0.720
O3 0.758 0.140 0.280
O4 0.242 0.860 0.140
O5 0.758 0.720 0.860
O6 0.242 0.280 0.140
Tl1 0.702 0.667 0.333
Tl2 0.298 0.333 0.667
Re1 0.000 0.000 0.000
Mn1 0.500 0.000 0.000
```

***

(10)
Mn2Tl2ReO6 after structural relaxation, computed with PBE+U.

Values from the calculation:
Its volume is 173.61 Å³ per cell. For the density of states at the Fermi level, the calculation gives 2.97 states/eV/cell. Its symmetry is C2/m (12). The calculation puts the magnetic moment at 1.001 μB per atom. For the total energy, the calculation gives -6.911 eV per atom.

Cell and atoms, written as CIF:
```
data_Mn2Tl2ReO6
_chemical_formula_sum 'Mn2 Tl2 Re1 O6'
_symmetry_space_group_name_H-M 'P 1'
_symmetry_Int_Tables_number 1
_symmetry_space_group_name_Hall 'P 1'
_cell_length_a 5.543
_cell_length_b 5.543
_cell_length_c 6.749
_cell_angle_alpha 97.99
_cell_angle_beta 97.99
_cell_angle_gamma 119.42
loop_
_atom_site_label
_atom_site_fract_x
_atom_site_fract_y
_atom_site_fract_z
O1 0.351 0.053 0.661
O2 0.947 0.649 0.339
O3 0.649 0.947 0.339
O4 0.762 0.762 0.669
O5 0.238 0.238 0.331
O6 0.053 0.351 0.661
Re1 0.000 0.000 0.500
Mn1 0.336 0.664 0.500
Mn2 0.664 0.336 0.500
Tl1 0.830 0.170 0.000
Tl2 0.170 0.830 0.000
```

***

(11)
MnTlRe2O8 after structural relaxation, computed with PBE+U.

Values from the calculation:
Its volume is 232.47 Å³ per cell. For the density of states at the Fermi level, the calculation gives 5.53 states/eV/cell. Its symmetry is C2/m (12). The calculation puts the magnetic moment at 0.328 μB per atom. For the total energy, the calculation gives -7.735 eV per atom.

Cell and atoms, written as CIF:
```
data_MnTlRe2O8
_chemical_formula_sum 'Mn1 Tl1 Re2 O8'
_symmetry_space_group_name_H-M 'P 1'
_symmetry_Int_Tables_number 1
_symmetry_space_group_name_Hall 'P 1'
_cell_length_a 5.667
_cell_length_b 5.667
_cell_length_c 8.053
_cell_angle_alpha 88.52
_cell_angle_beta 88.52
_cell_angle_gamma 64.07
loop_
_atom_site_label
_atom_site_fract_x
_atom_site_fract_y
_atom_site_fract_z
O1 0.786 0.295 0.187
O2 0.697 0.697 0.426
O3 0.705 0.214 0.813
O4 0.788 0.788 0.081
O5 0.214 0.705 0.813
O6 0.212 0.212 0.919
O7 0.303 0.303 0.574
O8 0.295 0.786 0.187
Re1 0.359 0.359 0.780
Re2 0.641 0.641 0.220
Tl1 0.000 0.000 0.500
Mn1 0.000 0.000 0.000
```

***

(12)
UMn2ReO8 after structural relaxation, computed with PBE+U.

Values from the calculation:
Its volume is 151.84 Å³ per cell. For the density of states at the Fermi level, the calculation gives 0.12 states/eV/cell. Its symmetry is Cmmm (65). The calculation puts the magnetic moment at 0.744 μB per atom. For the total energy, the calculation gives -8.664 eV per atom.

Cell and atoms, written as CIF:
```
data_UMn2ReO8
_chemical_formula_sum 'U1 Mn2 Re1 O8'
_symmetry_space_group_name_H-M 'P 1'
_symmetry_Int_Tables_number 1
_symmetry_space_group_name_Hall 'P 1'
_cell_length_a 4.843
_cell_length_b 4.840
_cell_length_c 6.481
_cell_angle_alpha 90.00
_cell_angle_beta 90.00
_cell_angle_gamma 91.85
loop_
_atom_site_label
_atom_site_fract_x
_atom_site_fract_y
_atom_site_fract_z
O1 0.724 0.725 0.000
O2 0.276 0.275 0.000
O3 0.189 0.810 0.231
O4 0.295 0.293 0.500
O5 0.811 0.190 0.231
O6 0.189 0.810 0.769
O7 0.811 0.190 0.769
O8 0.705 0.707 0.500
U1 0.000 0.000 0.500
Mn1 0.500 0.500 0.240
Mn2 0.500 0.500 0.760
Re1 0.000 0.000 0.000
```

***

volume of number 5 (MnReSnO6)? 213.91 Å³ per cell